1.
Density functional theory data (PBE-GGA) for Y4AgAu after structural relaxation.

Geometry as extended XYZ:
```
6
Lattice="0.0000 4.3593 4.3593 4.3593 0.0000 4.3593 4.3593 4.3593 0.0000" Properties=species:S:1:pos:R:3 pbc="T T T"
Y 1.0926 1.0926 1.0926
Y 3.2667 3.2667 1.0926
Y 3.2667 1.0926 3.2667
Y 1.0926 3.2667 3.2667
Ag 6.5390 6.5390 6.5390
Au 4.3593 4.3593 4.3593
```

Computed properties:
- Magnetic moment: 0.000 μB/f.u.
- VASP energy: -4.935 eV/atom
- Space-group type: No. 216

=====

2.
Density functional theory data (PBE-GGA) for LaSiSb2 after structural relaxation.

Geometry as extended XYZ:
```
8
Lattice="11.1781 0.0000 0.0000 0.0000 3.9153 0.0000 -2.6705 0.0000 4.9217" Properties=species:S:1:pos:R:3 pbc="T T T"
La 0.0000 0.0000 0.0000
La 5.5890 1.9576 0.0000
Si 1.6966 1.9576 1.8636
Si 7.2856 0.0000 1.8636
Sb 0.4308 0.0000 3.3853
Sb 3.7445 0.0000 2.2576
Sb 6.0199 1.9576 3.3853
Sb 9.3335 1.9576 2.2576
```

Computed properties:
- Magnetic moment: 0.000 μB/f.u.
- Energy relative to the elements, uncorrected: -412 meV per atom
- Space-group type: No. 8

=====

3.
Density functional theory data (PBE-GGA) for Pr2Dy3Th3 after structural relaxation.

Geometry as extended XYZ:
```
8
Lattice="9.1481 0.0000 0.0000 -4.5741 7.9225 0.0000 0.0000 0.0000 3.6626" Properties=species:S:1:pos:R:3 pbc="T T T"
Pr 0.0000 5.2817 0.0000
Pr 4.5741 2.6408 0.0000
Dy -1.8002 3.1180 1.8313
Dy 3.6004 0.0000 1.8313
Dy 2.7739 4.8045 1.8313
Th -3.5504 6.1495 0.0000
Th 1.0236 1.7730 0.0000
Th 7.1009 0.0000 0.0000
```

Computed properties:
- Magnetic moment: 0.000 μB/f.u.
- VASP energy: -5.527 eV/atom
- Space-group type: No. 189